# 1
A plane-wave DFT calculation with PBE was carried out for crystalline CaNd5Dy4 at its relaxed geometry.

Cell lengths 3.6384, 3.6384, 25.8253 Å; angles 90.00, 90.00, 90.00 degrees
Positions (direct):
Ca (0.0000, 0.0000, 0.0000)
Nd (0.5000, 0.5000, 0.1093)
Nd (0.5000, 0.5000, 0.3043)
Nd (0.5000, 0.5000, 0.5000)
Nd (0.5000, 0.5000, 0.6957)
Nd (0.5000, 0.5000, 0.8907)
Dy (0.0000, 0.0000, 0.2048)
Dy (0.0000, 0.0000, 0.4018)
Dy (0.0000, 0.0000, 0.5982)
Dy (0.0000, 0.0000, 0.7952)

Calculated values
Crystal system ... tetragonal
Magnetization ... 0.0000 μB per atom
Formation enthalpy at 0 K ... 0.026 eV per atom
Calculated total energy ... -4.40 eV/atom
SG ... P4/mmm (123)

# 2
A plane-wave DFT calculation with PBE was carried out for crystalline Ca2NdDy at its relaxed geometry.

Cell lengths 3.5937, 3.5937, 39.7747 Å; angles 90.00, 90.00, 120.00 degrees
Positions (direct):
Ca (0.0000, 0.0000, 0.0891)
Ca (0.0000, 0.0000, 0.9109)
Ca (0.3333, 0.6667, 0.5776)
Ca (0.3333, 0.6667, 0.7558)
Ca (0.6667, 0.3333, 0.2442)
Ca (0.6667, 0.3333, 0.4224)
Nd (0.0000, 0.0000, 0.0000)
Nd (0.3333, 0.6667, 0.6667)
Nd (0.6667, 0.3333, 0.3333)
Dy (0.0000, 0.0000, 0.5000)
Dy (0.3333, 0.6667, 0.1667)
Dy (0.6667, 0.3333, 0.8333)

Calculated values
Crystal system ... trigonal
Energy relative to the lowest polymorph listed for this composition ... 0.173 eV per atom
Magnetization ... 0.1558 μB per atom
Formation enthalpy at 0 K ... 0.219 eV per atom
Calculated total energy ... -3.12 eV/atom
SG ... R-3m (166)

# 3
A plane-wave DFT calculation with PBE was carried out for crystalline CaNd3Dy8 at its relaxed geometry.

Cell lengths 8.5535, 8.5535, 8.5535 Å; angles 118.56, 118.56, 92.51 degrees
Positions (direct):
Ca (0.0000, 0.0000, 0.0000)
Nd (0.2500, 0.7500, 0.5000)
Nd (0.5000, 0.5000, 0.0000)
Nd (0.7500, 0.2500, 0.5000)
Dy (0.1384, 0.1384, 0.7294)
Dy (0.2253, 0.6910, 0.0000)
Dy (0.3090, 0.3090, 0.5343)
Dy (0.4090, 0.4090, 0.2706)
Dy (0.5910, 0.8616, 0.0000)
Dy (0.6910, 0.2253, 0.0000)
Dy (0.7747, 0.7747, 0.4657)
Dy (0.8616, 0.5910, 0.0000)

Calculated values
Crystal system ... tetragonal
Magnetization ... 0.0000 μB per atom
Formation enthalpy at 0 K ... 0.647 eV per atom
Calculated total energy ... -3.78 eV/atom
SG ... I-42m (121)